Version P
## ZrBeTe (PBE)

Data for a relaxed ZrBeTe crystal.

a b c (Å): 3.727 3.742 10.249
angles (deg): 79.81 89.71 90.00
Space group P-1 (No. 2)
Unique sites:
Zr  0.002  0.317  0.362 [2 per cell]
Be  0.499  0.226  0.550 [2 per cell]
Te  0.496  0.110  0.789 [2 per cell]

Computed properties:
Total moment   0.0 μB/cell

=====

Version Q
## ZrBeTe (PBE)

Data for a relaxed ZrBeTe crystal.

a b c (Å): 3.474 3.474 9.319
angles (deg): 90.00 90.00 90.00
Space group I4mm (No. 107)
Unique sites:
Zr  0.000  0.000  0.000 [2 per cell]
Be  0.000  0.000  0.677 [2 per cell]
Te  0.000  0.000  0.315 [2 per cell]

Computed properties:
Total moment   0.0 μB/cell

=====

Energies in kJ/mol of atoms, measured from the most stable structure: version P 0.0; version Q 52.7.